No. 1
An optimized crystal structure of RbBa4Na5. Source: the Alexandria database, functional PBE.

a = 4.7320 Å, b = 4.7320 Å, c = 23.9344 Å
α = 90.00°, β = 90.00°, γ = 90.00°
Element x y z (fractional)
Na (0.5000, 0.5000, 0.8867)
Na (0.5000, 0.5000, 0.3065)
Na (0.5000, 0.5000, 0.6935)
Na (0.5000, 0.5000, 0.5000)
Na (0.5000, 0.5000, 0.1133)
Ba (0.0000, 0.0000, 0.7888)
Ba (0.0000, 0.0000, 0.4036)
Ba (0.0000, 0.0000, 0.2112)
Ba (0.0000, 0.0000, 0.5964)
Rb (0.0000, 0.0000, 0.0000)

## Properties
D(E_F): 9.99 states/eV/f.u.
Energy of formation: 0.2 eV/f.u.

No. 2
An optimized crystal structure of K2HfCl. Source: the Alexandria database, functional PBE.

a = 12.0033 Å, b = 12.0033 Å, c = 8.8415 Å
α = 47.25°, β = 47.25°, γ = 90.00°
Each line ends with the local moment (μB).
Element x y z (fractional)
K (0.2678, 0.6250, 0.2500)  0.02
K (0.4822, 0.1250, 0.2500)  0.03
K (0.8750, 0.7322, 0.7500)  0.02
K (0.3750, 0.5178, 0.7500)  0.03
Hf (0.7500, 0.2500, 0.5000)  1.18
Hf (0.0000, 0.0000, 0.0000)  1.17
Cl (0.5000, 0.5000, 0.0000)  -0.03
Cl (0.2500, 0.7500, 0.5000)  -0.03

## Properties
D(E_F): 5.55 states/eV/f.u.
Uncorrected formation energy: 0.239 eV/atom

No. 3
An optimized crystal structure of LiCeDyNi. Source: the Alexandria database, functional PBE.

a = 4.9476 Å, b = 4.9476 Å, c = 4.9476 Å
α = 60.00°, β = 60.00°, γ = 60.00°
Each line ends with the local moment (μB).
Element x y z (fractional)
Ni (0.2500, 0.2500, 0.2500)  0.01
Dy (0.0000, 0.0000, 0.0000)  0.04
Ce (0.5000, 0.5000, 0.5000)  0.56
Li (0.7500, 0.7500, 0.7500)  0.01

## Properties
D(E_F): 7.42 states/eV/f.u.
Energy of formation: -0.1 eV/f.u.

No. 4
An optimized crystal structure of LiScPCl2. Source: the Alexandria database, functional PBE.

a = 5.0060 Å, b = 5.0060 Å, c = 5.1656 Å
α = 90.00°, β = 90.00°, γ = 90.00°
Each line ends with the local moment (μB).
Element x y z (fractional)
Sc (0.0000, 0.0000, 0.0000)  -0.01
Li (0.5000, 0.5000, 0.5000)  0.01
P (0.0000, 0.0000, 0.5000)  0.34
Cl (0.5000, 0.0000, 0.0000)  0.05
Cl (0.0000, 0.5000, 0.0000)  0.05

## Properties
D(E_F): 3.11 states/eV/f.u.
Uncorrected formation energy: -0.993 eV/atom

No. 5
An optimized crystal structure of LiPaPt. Source: the Alexandria database, functional PBE.

a = 4.6135 Å, b = 4.6135 Å, c = 4.6135 Å
α = 60.00°, β = 60.00°, γ = 60.00°
Each line ends with the local moment (μB).
Element x y z (fractional)
Pa (0.0000, 0.0000, 0.0000)  1.10
Li (0.5000, 0.5000, 0.5000)  0.05
Pt (0.2500, 0.2500, 0.2500)  0.06

## Properties
D(E_F): 4.80 states/eV/f.u.
Energy of formation: -0.9 eV/f.u.

No. 6
An optimized crystal structure of KFeCuI5. Source: the Alexandria database, functional PBE.

a = 8.5287 Å, b = 8.5287 Å, c = 9.4399 Å
α = 100.99°, β = 100.99°, γ = 103.27°
Each line ends with the local moment (μB).
Element x y z (fractional)
I (0.4012, 0.2622, 0.0564)  0.17
I (0.6705, 0.0840, 0.3794)  0.18
I (0.2622, 0.4012, 0.5564)  0.17
I (0.0710, 0.9290, 0.2500)  0.06
I (0.9160, 0.3295, 0.1206)  0.18
I (0.9290, 0.0710, 0.7500)  0.06
I (0.0840, 0.6705, 0.8794)  0.18
I (0.5988, 0.7378, 0.9436)  0.17
I (0.7378, 0.5988, 0.4436)  0.17
I (0.3295, 0.9160, 0.6206)  0.18
Fe (0.6769, 0.3231, 0.2500)  3.49
Fe (0.3231, 0.6769, 0.7500)  3.49
Cu (0.0000, 0.0000, 0.0000)  0.14
Cu (0.0000, 0.0000, 0.5000)  0.14
K (0.6551, 0.3449, 0.7500)  0.00
K (0.3449, 0.6551, 0.2500)  0.00

## Properties
D(E_F): 0.82 states/eV/f.u.
Uncorrected formation energy: -0.458 eV/atom

| no. | magnetic moment (μB/atom) | V (Å³ per atom) |
| --- | --- | --- |
| 1 | 0.0000 | 53.59 |
| 2 | 0.6354 | 44.60 |
| 3 | 0.1827 | 21.41 |
| 4 | 0.1944 | 25.89 |
| 5 | 0.5503 | 23.15 |
| 6 | 0.6301 | 39.75 |